The following is a PBEsol calculation of an optimized crystal structure of BaSrSi4, from Alexandria.

Lattice parameters (Å, degrees): 8.848 6.515 11.093 90.00 90.00 90.00
Space group Pnma (No. 62)
Unique sites:
Ba  0.021  0.250  0.186 (multiplicity 4)
Sr  0.151  0.750  0.407 (multiplicity 4)
Si  0.088  0.750  0.099 (multiplicity 4)
Si  0.184  0.066  0.648 (multiplicity 8)
Si  0.195  0.250  0.461 (multiplicity 4)

Values from the calculation:
* formation energy from raw total energies: -0.34 eV per atom
* calculated total energy: -4.831 eV per atom
* density: 3503 kg/m³
* energy above the lowest structure with this stoichiometry: 68 meV/atom

---

The following is a PBEsol calculation of an optimized crystal structure of BaSr3Si, from Alexandria.

Lattice parameters (Å, degrees): 6.171 6.171 6.171 90.00 90.00 90.00
Space group Pm-3m (No. 221)
Unique sites:
Ba  0.000  0.000  0.000 (multiplicity 1)
Sr  0.000  0.500  0.500 (multiplicity 3)
Si  0.500  0.500  0.500 (multiplicity 1)

Values from the calculation:
* formation energy from raw total energies: -0.09 eV per atom
* calculated total energy: -2.772 eV per atom
* density: 3027 kg/m³

---

The following is a PBEsol calculation of an optimized crystal structure of BaSrSi, from Alexandria.

Lattice parameters (Å, degrees): 5.1517 5.1517 4.6375 90.00 90.00 120.00
Space group P3m1 (No. 156)
Unique sites:
Ba  0.0000  0.0000  0.0000 (multiplicity 1)
Sr  0.6667  0.3333  0.4606 (multiplicity 1)
Si  0.3333  0.6667  0.6709 (multiplicity 1)

Values from the calculation:
* formation energy from raw total energies: -0.14 eV per atom
* calculated total energy: -3.385 eV per atom
* density: 3942 kg/m³

---

The following is a PBEsol calculation of an optimized crystal structure of Ba2SrSi2, from Alexandria.

Lattice parameters (Å, degrees): 8.129 8.129 5.072 90.00 90.00 90.00
Space group P4/mbm (No. 127)
Unique sites:
Ba  0.172  0.328  0.000 (multiplicity 4)
Sr  0.000  0.000  0.500 (multiplicity 2)
Si  0.103  0.603  0.500 (multiplicity 4)

Values from the calculation:
* formation energy from raw total energies: -0.34 eV per atom
* calculated total energy: -3.868 eV per atom
* density: 4146 kg/m³
* energy above the lowest structure with this stoichiometry: 0 meV/atom

---

The following is a PBEsol calculation of an optimized crystal structure of Ba2TaSi, from Alexandria.

Lattice parameters (Å, degrees): 6.416 10.087 3.298 90.00 90.00 90.00
Space group Cmmm (No. 65)
Unique sites:
Ba  0.250  0.250  0.000 (multiplicity 4)
Ta  0.000  0.000  0.500 (multiplicity 2)
Si  0.000  0.500  0.500 (multiplicity 2)

Values from the calculation:
* formation energy from raw total energies: 0.78 eV per atom
* calculated total energy: -4.873 eV per atom
* density: 7527 kg/m³

---

The following is a PBEsol calculation of an optimized crystal structure of Ba2TaSi, from Alexandria.

Lattice parameters (Å, degrees): 3.602 3.602 9.503 90.00 90.00 90.00
Space group P4mm (No. 99)
Unique sites:
Ba  0.000  0.000  0.000 (multiplicity 1)
Ba  0.500  0.500  0.411 (multiplicity 1)
Ta  0.500  0.500  0.731 (multiplicity 1)
Si  0.000  0.000  0.669 (multiplicity 1)

Values from the calculation:
* formation energy from raw total energies: 0.13 eV per atom
* calculated total energy: -5.521 eV per atom
* density: 6516 kg/m³

---

The following is a PBEsol calculation of an optimized crystal structure of BaTa2Si, from Alexandria.

Lattice parameters (Å, degrees): 10.456 2.997 5.799 90.00 103.27 90.00
Space group C2/m (No. 12)
Unique sites:
Ba  0.000  0.000  0.000 (multiplicity 2)
Ta  0.211  0.000  0.668 (multiplicity 4)
Si  0.000  0.500  0.500 (multiplicity 2)

Values from the calculation:
* formation energy from raw total energies: 0.49 eV per atom
* calculated total energy: -7.763 eV per atom
* density: 9903 kg/m³

---

The following is a PBEsol calculation of an optimized crystal structure of Ba2SiTc, from Alexandria.

Lattice parameters (Å, degrees): 3.448 4.604 6.864 90.00 90.00 90.00
Space group Pmmm (No. 47)
Unique sites:
Ba  0.000  0.000  0.248 (multiplicity 2)
Si  0.500  0.500  0.000 (multiplicity 1)
Tc  0.500  0.500  0.500 (multiplicity 1)

Values from the calculation:
* formation energy from raw total energies: 0.76 eV per atom
* calculated total energy: -4.566 eV per atom
* density: 6108 kg/m³

---

The following is a PBEsol calculation of an optimized crystal structure of BaSiTc3, from Alexandria.

Lattice parameters (Å, degrees): 4.617 4.617 4.617 90.00 90.00 90.00
Space group Pm-3m (No. 221)
Unique sites:
Ba  0.000  0.000  0.000 (multiplicity 1)
Si  0.500  0.500  0.500 (multiplicity 1)
Tc  0.000  0.500  0.500 (multiplicity 3)

Values from the calculation:
* formation energy from raw total energies: 0.95 eV per atom
* calculated total energy: -7.389 eV per atom
* density: 7753 kg/m³

---

The following is a PBEsol calculation of an optimized crystal structure of Ba2SiTc, from Alexandria.

Lattice parameters (Å, degrees): 7.399 7.399 7.399 90.00 90.00 90.00
Space group F-43m (No. 216)
Unique sites:
Ba  0.000  0.000  0.000 (multiplicity 4)
Ba  0.250  0.250  0.250 (multiplicity 4)
Si  0.000  0.000  0.500 (multiplicity 4)
Tc  0.250  0.250  0.750 (multiplicity 4)

Values from the calculation:
* formation energy from raw total energies: 0.69 eV per atom
* calculated total energy: -4.643 eV per atom
* density: 6571 kg/m³

---

The following is a PBEsol calculation of an optimized crystal structure of BaSi4Tc, from Alexandria.

Lattice parameters (Å, degrees): 7.539 7.539 7.539 90.00 90.00 90.00
Space group F-43m (No. 216)
Unique sites:
Ba  0.000  0.000  0.000 (multiplicity 4)
Si  0.120  0.120  0.620 (multiplicity 16)
Tc  0.250  0.250  0.250 (multiplicity 4)

Values from the calculation:
* formation energy from raw total energies: 0.55 eV per atom
* calculated total energy: -5.513 eV per atom
* density: 5389 kg/m³

---

The following is a PBEsol calculation of an optimized crystal structure of BaSi2TcW, from Alexandria.

Lattice parameters (Å, degrees): 4.665 4.665 4.995 90.00 90.00 90.00
Space group P4/mmm (No. 123)
Unique sites:
Ba  0.000  0.000  0.000 (multiplicity 1)
Si  0.000  0.500  0.500 (multiplicity 2)
Tc  0.500  0.500  0.500 (multiplicity 1)
W  0.500  0.500  0.000 (multiplicity 1)

Values from the calculation:
* formation energy from raw total energies: 0.61 eV per atom
* calculated total energy: -7.133 eV per atom
* density: 7261 kg/m³

---

Question: Among the records above, which one has the highest density?
Answer: BaTa2Si

---

Question: Among the records above, which one has the highest formation energy from raw total energies?
Answer: BaSiTc3